[1]
{
  "formula": "SrZnSi2",
  "functional": "PBE",
  "state": "optimized geometry",
  "cell": [[4.3550, 0.0000, 0.0000], [0.0000, 4.3550, 0.0000], [0.0000, 0.0000, 4.3593]],
  "species": ["Sr", "Si", "Zn", "Si"],
  "frac_coords": [[0.5000, 0.0000, 0.5000], [0.0000, 0.0000, 0.0000], [0.0000, 0.5000, 0.5000], [0.5000, 0.5000, 0.0000]],
  "total_energy_ev_per_cell": -13.3
}

[2]
{
  "formula": "PmTiNiRh",
  "functional": "PBE",
  "state": "optimized geometry",
  "cell": [[-1.6242, -3.7736, 2.1976], [-0.3515, -4.0503, -2.2757], [2.8804, -3.5122, 1.0368]],
  "species": ["Ni", "Rh", "Pm", "Ti"],
  "frac_coords": [[0.2500, 0.2500, 0.2500], [0.7500, 0.7500, 0.7500], [0.0000, 0.0000, 0.0000], [0.5000, 0.5000, 0.5000]],
  "total_energy_ev_per_cell": -27.0
}

[3]
{
  "formula": "Pr2Er6Tm3Sc",
  "functional": "PBE",
  "state": "optimized geometry",
  "cell": [[6.0835, 0.0007, 0.0036], [-3.0397, 5.2696, 0.0036], [-1.0184, -1.7634, 11.4934]],
  "species": ["Er", "Tm", "Tm", "Er", "Er", "Pr", "Sc", "Er", "Er", "Er", "Pr", "Tm"],
  "frac_coords": [[0.2459, 0.2459, 0.7470], [0.5000, 0.5000, 0.5000], [0.1662, 0.8338, 0.5000], [0.7541, 0.7541, 0.2530], [0.5857, 0.9158, 0.7472], [0.3334, 0.6666, 0.0000], [0.0000, 0.0000, 0.0000], [0.0842, 0.4143, 0.2528], [0.9158, 0.5857, 0.7472], [0.4143, 0.0842, 0.2528], [0.6666, 0.3334, 0.0000], [0.8338, 0.1662, 0.5000]],
  "total_energy_ev_per_cell": -56.3
}